Computed, not measured: crystalline HfAlTeI2 at its relaxed geometry at the PBE-GGA level of DFT.

The raw total energy comes out at -4.058 eV/atom. Its total magnetization is 0.00 Bohr magnetons per cell. The calculation puts the uncorrected formation energy at -0.070 eV/atom. Its density of states at the Fermi level is 2.68 states/eV per cell. The energy above the lowest structure with this stoichiometry is 0.0 meV per atom.

The structure belongs to space group P4/mmm (No. 123); the cell edges are 5.707, 5.707 and 5.603 Å and the angles 90.00°, 90.00° and 90.00°. The inequivalent atoms are Hf at (0.000, 0.000, 0.000), Al at (0.500, 0.500, 0.500), Te at (0.000, 0.000, 0.500) and I at (0.000, 0.500, 0.000).